Material: TbDy2TmTh
Method: DFT, PBE-GGA
State: relaxed

Output
- Calculated total energy: -48.073 eV per cell
- Energy of formation: 0.34 eV per atom
- Density: 8.777 g/cm3

Lattice parameters (Å, degrees): 8.4924 6.3148 6.2856 90.00 96.66 90.00
Positions (direct):
1 Tb 0.0000 0.0000 0.0000
2 Tb 0.0000 0.0000 0.5000
3 Dy 0.3135 0.3031 0.2157
4 Dy 0.3135 0.6969 0.7157
5 Dy 0.6865 0.3031 0.2843
6 Dy 0.6865 0.6969 0.7843
7 Tm 0.5000 0.1811 0.7500
8 Tm 0.5000 0.8189 0.2500
9 Th 0.0000 0.4488 0.7500
10 Th 0.0000 0.5512 0.2500



Material: TbDy5TmTh2
Method: DFT, PBE-GGA
State: relaxed

Output
- Calculated total energy: -87.659 eV per cell
- Energy of formation: 0.35 eV per atom
- Density: 9.018 g/cm3

Lattice parameters (Å, degrees): 9.9098 9.9098 9.9098 127.73 127.73 77.07
Positions (direct):
1 Tb 0.2500 0.2500 0.0000
2 Tb 0.7500 0.7500 0.0000
3 Dy 0.0000 0.0000 0.0000
4 Dy 0.0708 0.5708 0.9215
5 Dy 0.1492 0.0708 0.5000
6 Dy 0.3508 0.8508 0.9215
7 Dy 0.4292 0.3508 0.5000
8 Dy 0.5000 0.5000 0.0000
9 Dy 0.5708 0.6492 0.5000
10 Dy 0.6492 0.1492 0.0785
11 Dy 0.8508 0.9292 0.5000
12 Dy 0.9292 0.4292 0.0785
13 Tm 0.2500 0.7500 0.5000
14 Tm 0.7500 0.2500 0.5000
15 Th 0.1197 0.3803 0.5000
16 Th 0.3803 0.8803 0.2605
17 Th 0.6197 0.1197 0.7395
18 Th 0.8803 0.6197 0.5000



> What is the formula in the second record?

TbDy5TmTh2



> Among the records above, which one has the highest density?

TbDy5TmTh2



> Which of these has the highest calculated total energy?

TbDy2TmTh